[1]
# PBEsol EuCd2As2, relaxed
data_EuCd2As2
_chemical_formula_sum 'Eu1 Cd2 As2'
_space_group_name_H-M_alt 'P 1'
_space_group_IT_number 1
_cell_length_a 4.417
_cell_length_b 4.417
_cell_length_c 7.084
_cell_angle_alpha 90.00
_cell_angle_beta 90.00
_cell_angle_gamma 120.00
loop_
_space_group_symop_operation_xyz
'x,y,z'
loop_
_atom_site_label
_atom_site_type_symbol
_atom_site_fract_x
_atom_site_fract_y
_atom_site_fract_z
Eu1 Eu 0.000 0.000 0.000
As1 As 0.667 0.333 0.762
As2 As 0.333 0.667 0.238
Cd1 Cd 0.333 0.667 0.636
Cd2 Cd 0.667 0.333 0.364
# - Fermi-level density of states (states/eV/atom) = 1.8825
# - ΔE_f (meV/atom) = -630

---

[2]
# PBEsol BaZr2Br, relaxed
data_BaZr2Br
_chemical_formula_sum 'Ba1 Zr2 Br1'
_space_group_name_H-M_alt 'P 1'
_space_group_IT_number 1
_cell_length_a 3.334
_cell_length_b 3.334
_cell_length_c 9.741
_cell_angle_alpha 90.00
_cell_angle_beta 90.00
_cell_angle_gamma 90.05
loop_
_space_group_symop_operation_xyz
'x,y,z'
loop_
_atom_site_label
_atom_site_type_symbol
_atom_site_fract_x
_atom_site_fract_y
_atom_site_fract_z
Br1 Br 0.500 0.500 0.216
Ba1 Ba 0.000 0.000 0.482
Zr1 Zr 0.000 0.000 0.004
Zr2 Zr 0.500 0.500 0.799
# - Fermi-level density of states (states/eV/atom) = 0.6469
# - formation energy from raw total energies (kJ/mol of formula units) = -84
# - energy above the most stable polymorph in this dataset (eV per atom) = 0.000

---

[3]
# PBEsol AlTeH6C2Br3, relaxed
data_AlTeH6C2Br3
_chemical_formula_sum 'Al4 Te4 H24 C8 Br12'
_space_group_name_H-M_alt 'P 1'
_space_group_IT_number 1
_cell_length_a 6.655
_cell_length_b 10.636
_cell_length_c 13.398
_cell_angle_alpha 90.00
_cell_angle_beta 90.00
_cell_angle_gamma 90.00
loop_
_space_group_symop_operation_xyz
'x,y,z'
loop_
_atom_site_label
_atom_site_type_symbol
_atom_site_fract_x
_atom_site_fract_y
_atom_site_fract_z
Al1 Al 0.539 0.250 0.557
Al2 Al 0.461 0.750 0.443
Al3 Al 0.539 0.750 0.943
Al4 Al 0.461 0.250 0.057
Te1 Te 0.615 0.250 0.358
Te2 Te 0.385 0.750 0.642
Te3 Te 0.615 0.750 0.142
Te4 Te 0.385 0.250 0.858
H1 H 0.915 0.112 0.286
H2 H 0.085 0.612 0.714
H3 H 0.915 0.888 0.214
H4 H 0.085 0.388 0.786
H5 H 0.085 0.888 0.714
H6 H 0.915 0.388 0.286
H7 H 0.085 0.112 0.786
H8 H 0.915 0.612 0.214
H9 H 0.759 0.015 0.367
H10 H 0.241 0.515 0.633
H11 H 0.759 0.985 0.133
H12 H 0.241 0.485 0.867
H13 H 0.241 0.985 0.633
H14 H 0.759 0.485 0.367
H15 H 0.241 0.015 0.867
H16 H 0.759 0.515 0.133
H17 H 0.940 0.122 0.421
H18 H 0.060 0.622 0.579
H19 H 0.940 0.878 0.079
H20 H 0.060 0.378 0.921
H21 H 0.060 0.878 0.579
H22 H 0.940 0.378 0.421
H23 H 0.060 0.122 0.921
H24 H 0.940 0.622 0.079
C1 C 0.837 0.105 0.359
C2 C 0.163 0.605 0.641
C3 C 0.837 0.895 0.141
C4 C 0.163 0.395 0.859
C5 C 0.163 0.895 0.641
C6 C 0.837 0.395 0.359
C7 C 0.163 0.105 0.859
C8 C 0.837 0.605 0.141
Br1 Br 0.195 0.250 0.576
Br2 Br 0.805 0.750 0.424
Br3 Br 0.195 0.750 0.924
Br4 Br 0.805 0.250 0.076
Br5 Br 0.679 0.431 0.620
Br6 Br 0.321 0.931 0.380
Br7 Br 0.679 0.569 0.880
Br8 Br 0.321 0.069 0.120
Br9 Br 0.321 0.569 0.380
Br10 Br 0.679 0.069 0.620
Br11 Br 0.321 0.431 0.120
Br12 Br 0.679 0.931 0.880
# - Fermi-level density of states (states/eV/atom) = 0.0000
# - E (eV per atom) = -4.417

---

[4]
# PBEsol In2WSe, relaxed
data_In2WSe
_chemical_formula_sum 'In2 W1 Se1'
_space_group_name_H-M_alt 'P 1'
_space_group_IT_number 1
_cell_length_a 3.048
_cell_length_b 3.048
_cell_length_c 10.153
_cell_angle_alpha 90.00
_cell_angle_beta 90.00
_cell_angle_gamma 115.82
loop_
_space_group_symop_operation_xyz
'x,y,z'
loop_
_atom_site_label
_atom_site_type_symbol
_atom_site_fract_x
_atom_site_fract_y
_atom_site_fract_z
In1 In 0.000 0.000 0.029
In2 In 0.500 0.500 0.758
Se1 Se 0.000 0.000 0.448
W1 W 0.500 0.500 0.265
# - Fermi-level density of states (states/eV/atom) = 0.5816
# - formation energy from raw total energies (kJ/mol of formula units) = 123

---

[5]
# PBEsol InSbPt2, relaxed
data_InSbPt2
_chemical_formula_sum 'In1 Sb1 Pt2'
_space_group_name_H-M_alt 'P 1'
_space_group_IT_number 1
_cell_length_a 3.321
_cell_length_b 3.321
_cell_length_c 6.606
_cell_angle_alpha 90.00
_cell_angle_beta 90.00
_cell_angle_gamma 90.00
loop_
_space_group_symop_operation_xyz
'x,y,z'
loop_
_atom_site_label
_atom_site_type_symbol
_atom_site_fract_x
_atom_site_fract_y
_atom_site_fract_z
In1 In 0.500 0.500 0.500
Pt1 Pt 0.000 0.000 0.737
Pt2 Pt 0.000 0.000 0.263
Sb1 Sb 0.500 0.500 0.000
# - Fermi-level density of states (states/eV/atom) = 0.3449
# - formation energy from raw total energies (kJ/mol of formula units) = -89

---

[6]
# PBEsol ReRu3, relaxed
data_ReRu3
_chemical_formula_sum 'Re1 Ru3'
_space_group_name_H-M_alt 'P 1'
_space_group_IT_number 1
_cell_length_a 2.709
_cell_length_b 2.709
_cell_length_c 8.563
_cell_angle_alpha 90.00
_cell_angle_beta 90.00
_cell_angle_gamma 120.00
loop_
_space_group_symop_operation_xyz
'x,y,z'
loop_
_atom_site_label
_atom_site_type_symbol
_atom_site_fract_x
_atom_site_fract_y
_atom_site_fract_z
Re1 Re 0.000 0.000 0.000
Ru1 Ru 0.000 0.000 0.500
Ru2 Ru 0.667 0.333 0.748
Ru3 Ru 0.667 0.333 0.252
# - Fermi-level density of states (states/eV/atom) = 0.9005
# - ΔE_f (meV/atom) = -30
# - energy above the most stable polymorph in this dataset (eV per atom) = 0.034

---

[7]
# PBEsol BeSiCl2, relaxed
data_BeSiCl2
_chemical_formula_sum 'Be1 Si1 Cl2'
_space_group_name_H-M_alt 'P 1'
_space_group_IT_number 1
_cell_length_a 3.075
_cell_length_b 3.392
_cell_length_c 8.362
_cell_angle_alpha 90.00
_cell_angle_beta 90.00
_cell_angle_gamma 116.95
loop_
_space_group_symop_operation_xyz
'x,y,z'
loop_
_atom_site_label
_atom_site_type_symbol
_atom_site_fract_x
_atom_site_fract_y
_atom_site_fract_z
Be1 Be 0.500 0.000 0.742
Si1 Si 0.000 0.000 0.536
Cl1 Cl 0.000 0.000 0.901
Cl2 Cl 0.500 0.000 0.321
# - Fermi-level density of states (states/eV/atom) = 0.1528
# - formation energy from raw total energies (kJ/mol of formula units) = -116
# - energy above the most stable polymorph in this dataset (eV per atom) = 0.000

---

[8]
# PBEsol BeHgOs2, relaxed
data_BeHgOs2
_chemical_formula_sum 'Be1 Hg1 Os2'
_space_group_name_H-M_alt 'P 1'
_space_group_IT_number 1
_cell_length_a 2.847
_cell_length_b 2.847
_cell_length_c 6.837
_cell_angle_alpha 90.00
_cell_angle_beta 90.00
_cell_angle_gamma 90.00
loop_
_space_group_symop_operation_xyz
'x,y,z'
loop_
_atom_site_label
_atom_site_type_symbol
_atom_site_fract_x
_atom_site_fract_y
_atom_site_fract_z
Be1 Be 0.000 0.000 0.532
Os1 Os 0.000 0.000 0.967
Os2 Os 0.500 0.500 0.722
Hg1 Hg 0.500 0.500 0.279
# - Fermi-level density of states (states/eV/atom) = 0.2949
# - ΔE_f (meV/atom) = 221
# - energy above the most stable polymorph in this dataset (eV per atom) = 0.000

---

[9]
# PBEsol Sc2AgW, relaxed
data_Sc2AgW
_chemical_formula_sum 'Sc2 Ag1 W1'
_space_group_name_H-M_alt 'P 1'
_space_group_IT_number 1
_cell_length_a 3.023
_cell_length_b 4.920
_cell_length_c 4.920
_cell_angle_alpha 90.00
_cell_angle_beta 90.00
_cell_angle_gamma 90.00
loop_
_space_group_symop_operation_xyz
'x,y,z'
loop_
_atom_site_label
_atom_site_type_symbol
_atom_site_fract_x
_atom_site_fract_y
_atom_site_fract_z
Ag1 Ag 0.500 0.500 0.500
Sc1 Sc 0.000 0.500 0.000
Sc2 Sc 0.000 0.000 0.500
W1 W 0.500 0.000 0.000
# - Fermi-level density of states (states/eV/atom) = 0.9397
# - ΔE_f (meV/atom) = 134
# - energy above the most stable polymorph in this dataset (eV per atom) = 0.000

---

[10]
# PBEsol Cu2TeSe, relaxed
data_Cu2TeSe
_chemical_formula_sum 'Cu4 Te2 Se2'
_space_group_name_H-M_alt 'P 1'
_space_group_IT_number 1
_cell_length_a 5.600
_cell_length_b 5.600
_cell_length_c 6.827
_cell_angle_alpha 114.21
_cell_angle_beta 114.21
_cell_angle_gamma 90.00
loop_
_space_group_symop_operation_xyz
'x,y,z'
loop_
_atom_site_label
_atom_site_type_symbol
_atom_site_fract_x
_atom_site_fract_y
_atom_site_fract_z
Te1 Te 0.250 0.750 0.500
Te2 Te 0.000 0.000 0.000
Cu1 Cu 0.402 0.875 0.250
Cu2 Cu 0.848 0.375 0.250
Cu3 Cu 0.125 0.152 0.750
Cu4 Cu 0.625 0.598 0.750
Se1 Se 0.750 0.250 0.500
Se2 Se 0.500 0.500 0.000
# - Fermi-level density of states (states/eV/atom) = 0.7101
# - formation energy from raw total energies (kJ/mol of formula units) = -18
# - energy above the most stable polymorph in this dataset (eV per atom) = 0.000

---

[11]
# PBEsol Ba8Fe3N8, relaxed
data_Ba8Fe3N8
_chemical_formula_sum 'Ba8 Fe3 N8'
_space_group_name_H-M_alt 'P 1'
_space_group_IT_number 1
_cell_length_a 5.641
_cell_length_b 7.726
_cell_length_c 10.109
_cell_angle_alpha 104.96
_cell_angle_beta 106.20
_cell_angle_gamma 90.00
loop_
_space_group_symop_operation_xyz
'x,y,z'
loop_
_atom_site_label
_atom_site_type_symbol
_atom_site_fract_x
_atom_site_fract_y
_atom_site_fract_z
Ba1 Ba 0.972 0.729 0.943
Ba2 Ba 0.028 0.271 0.057
Ba3 Ba 0.667 0.468 0.334
Ba4 Ba 0.333 0.532 0.666
Ba5 Ba 0.601 0.952 0.202
Ba6 Ba 0.399 0.048 0.798
Ba7 Ba 0.202 0.801 0.405
Ba8 Ba 0.798 0.199 0.595
Fe1 Fe 0.500 0.500 0.000
Fe2 Fe 0.813 0.798 0.627
Fe3 Fe 0.187 0.202 0.373
N1 N 0.890 0.977 0.779
N2 N 0.110 0.023 0.221
N3 N 0.821 0.583 0.642
N4 N 0.179 0.417 0.358
N5 N 0.729 0.834 0.458
N6 N 0.271 0.166 0.542
N7 N 0.478 0.700 0.956
N8 N 0.522 0.300 0.044
# - Fermi-level density of states (states/eV/atom) = 0.4440
# - formation energy from raw total energies (kJ/mol of formula units) = -1093

---

[12]
# PBEsol Ag2HgBr2, relaxed
data_Ag2HgBr2
_chemical_formula_sum 'Ag2 Hg1 Br2'
_space_group_name_H-M_alt 'P 1'
_space_group_IT_number 1
_cell_length_a 5.385
_cell_length_b 5.385
_cell_length_c 7.461
_cell_angle_alpha 111.16
_cell_angle_beta 111.16
_cell_angle_gamma 90.00
loop_
_space_group_symop_operation_xyz
'x,y,z'
loop_
_atom_site_label
_atom_site_type_symbol
_atom_site_fract_x
_atom_site_fract_y
_atom_site_fract_z
Ag1 Ag 0.214 0.214 0.428
Ag2 Ag 0.786 0.786 0.572
Hg1 Hg 0.000 0.000 0.000
Br1 Br 0.250 0.750 0.500
Br2 Br 0.750 0.250 0.500
# - Fermi-level density of states (states/eV/atom) = 0.0772
# - formation energy from raw total energies (kJ/mol of formula units) = -47

---

What are the total magnetization values for these records? In order: 7.0 0.0 0.0 0.0 0.0 0.0 0.0 0.0 0.0 0.0 5.4 0.0 μB per formula unit.